# Pm3Pr4Ho5

A geometry-optimized Pm3Pr4Ho5 structure (PBE, Alexandria).

The structure belongs to space group C2/m (No. 12); the cell edges are 16.205, 6.008 and 9.441 Å and the angles 90.00°, 116.42° and 90.00°. Symmetry generates all atoms from Pm at (0.000, 0.000, 0.000), Pm at (0.211, 0.500, 0.235), Pr at (0.085, 0.500, 0.446), Pr at (0.212, 0.500, 0.883), Ho at (0.000, 0.500, 0.000), Ho at (0.071, 0.000, 0.698) and Ho at (0.171, 0.000, 0.385).

The magnetization comes out at 0.38 μB per cell. Its electronic total energy is -0.32873 Ry/atom. Its energy above the lowest structure with this stoichiometry is 198.7 meV per atom.



# Sr3Ca8

A geometry-optimized Sr3Ca8 structure (PBE, Alexandria).

The structure belongs to space group R-3 (No. 148, hexagonal axes); the cell edges are 10.6119, 10.6119 and 16.9453 Å and the angles 90.00°, 90.00° and 120.00°. Symmetry generates all atoms from Sr at (0.0000, 0.5000, 0.0000), Ca at (0.0000, 0.0000, 0.4108) and Ca at (0.0853, 0.5433, 0.7737).

The magnetization comes out at 0.00 μB per cell. Its electronic total energy is -0.11180 Ry/atom. Its energy above the lowest structure with this stoichiometry is 4.0 meV per atom.



Q: The highest magnetization belongs to which entry?
A: Pm3Pr4Ho5



What did the second record say?
# Sr3Ca8

A geometry-optimized Sr3Ca8 structure (PBE, Alexandria).

The structure belongs to space group R-3 (No. 148, hexagonal axes); the cell edges are 10.6119, 10.6119 and 16.9453 Å and the angles 90.00°, 90.00° and 120.00°. Symmetry generates all atoms from Sr at (0.0000, 0.5000, 0.0000), Ca at (0.0000, 0.0000, 0.4108) and Ca at (0.0853, 0.5433, 0.7737).

The magnetization comes out at 0.00 μB per cell. Its electronic total energy is -0.11180 Ry/atom. Its energy above the lowest structure with this stoichiometry is 4.0 meV per atom.



Q: Among the records above, which one has the highest magnetization?
A: Pm3Pr4Ho5



Q: Among the records above, which one has the highest magnetization?
A: Pm3Pr4Ho5